(1)
# NdSi2Pt

A relaxed structure of NdSi2Pt (PBE, the Open Quantum Materials Database).

Output
Total DFT energy (no corrections) ... -50.46 eV/cell

Lattice parameters (Å, degrees): 5.7570 4.0556 6.5688 90.00 90.11 90.00
Space group P2_1/m (No. 11)
One atom of each set of equivalent atoms:
Nd  0.1292  0.2500  0.2496 x2
Si  0.3344  0.7500  0.5391 x2
Si  0.3350  0.7500  0.9604 x2
Pt  0.3868  0.2500  0.7498 x2

---

(2)
# NdSi2Pt

A relaxed structure of NdSi2Pt (PBE, the Open Quantum Materials Database).

Output
Total DFT energy (no corrections) ... -49.48 eV/cell

Lattice parameters (Å, degrees): 4.1884 6.0984 5.9420 90.00 90.00 90.00
Space group Pmn2_1 (No. 31)
One atom of each set of equivalent atoms:
Nd  0.0000  0.1028  0.0000 x2
Si  0.0000  0.2714  0.4960 x2
Si  0.0000  0.6299  0.2434 x2
Pt  0.0000  0.5951  0.8047 x2

---

(3)
# Nd2SiPt6

A relaxed structure of Nd2SiPt6 (PBE, the Open Quantum Materials Database).

Output
Total DFT energy (no corrections) ... -60.28 eV/cell

Lattice parameters (Å, degrees): 5.7326 5.7326 5.8948 90.00 90.00 120.00
Space group P-3m1 (No. 164)
One atom of each set of equivalent atoms:
Nd  0.3333  0.6667  0.3397 x2
Si  0.0000  0.0000  0.5000 x1
Pt  0.1705  0.3409  0.8023 x6

---

(4)
# NdSmPt

A relaxed structure of NdSmPt (PBE, the Open Quantum Materials Database).

Output
Relative energy among the computed polymorphs ... 0.0 kJ/mol of formula units
Energy of formation from the pure elements ... -0.1243 eV per atom

Lattice parameters (Å, degrees): 6.8407 6.8407 6.8407 90.00 90.00 90.00
Space group F-43m (No. 216)
One atom of each set of equivalent atoms:
Nd  0.0000  0.0000  0.0000 x4
Sm  0.2500  0.2500  0.2500 x4
Pt  0.0000  0.0000  0.5000 x4

---

(5)
# Nd2SmPt

A relaxed structure of Nd2SmPt (PBE, the Open Quantum Materials Database).

Output
Energy of formation from the pure elements ... -0.6295 eV per atom

Lattice parameters (Å, degrees): 7.2172 10.0432 6.6192 90.00 90.00 90.00
Space group Pnma (No. 62)
One atom of each set of equivalent atoms:
Nd  0.1794  0.0618  0.1736 x8
Sm  0.0282  0.2500  0.6421 x4
Pt  0.1170  0.7500  0.9407 x4

---

(6)
# NdSmPt4

A relaxed structure of NdSmPt4 (PBE, the Open Quantum Materials Database).

Output
Energy of formation from the pure elements ... -1.0598 eV per atom

Lattice parameters (Å, degrees): 7.7638 7.7638 7.7638 90.00 90.00 90.00
Space group F-43m (No. 216)
One atom of each set of equivalent atoms:
Nd  0.0000  0.0000  0.0000 x4
Sm  0.2500  0.2500  0.2500 x4
Pt  0.1249  0.1249  0.6249 x16

---

(7)
# NdSm2Pt9

A relaxed structure of NdSm2Pt9 (PBE, the Open Quantum Materials Database).

Output
Energy of formation from the pure elements ... -0.9190 eV per atom

Lattice parameters (Å, degrees): 5.4427 5.4427 26.6382 90.00 90.00 120.00
Space group R-3m (No. 166, hexagonal axes)
One atom of each set of equivalent atoms:
Nd  0.0000  0.0000  0.0000 x3
Sm  0.0000  0.0000  0.1394 x6
Pt  0.0000  0.0000  0.3330 x6
Pt  0.0000  0.0000  0.5000 x3
Pt  0.0041  0.5020  0.9150 x18

---

(8)
# Nd3Sm3Te2Pt

A relaxed structure of Nd3Sm3Te2Pt (PBE, the Open Quantum Materials Database).

Output
Relative energy among the computed polymorphs ... 32.0 kJ/mol of formula units

Lattice parameters (Å, degrees): 8.6859 8.6859 4.0116 90.00 90.00 120.00
Space group P-62m (No. 189)
One atom of each set of equivalent atoms:
Nd  0.0000  0.7523  0.0000 x3
Sm  0.0000  0.4101  0.5000 x3
Te  0.3333  0.6667  0.0000 x2
Pt  0.0000  0.0000  0.5000 x1

---

(9)
# Nd3Sm3Te2Pt

A relaxed structure of Nd3Sm3Te2Pt (PBE, the Open Quantum Materials Database).

Output
Relative energy among the computed polymorphs ... 0.0 kJ/mol of formula units

Lattice parameters (Å, degrees): 8.6374 8.6374 4.0557 90.00 90.00 120.00
Space group P-62m (No. 189)
One atom of each set of equivalent atoms:
Nd  0.0000  0.4094  0.0000 x3
Sm  0.0000  0.7557  0.5000 x3
Te  0.3333  0.6667  0.5000 x2
Pt  0.0000  0.0000  0.0000 x1

---

(10)
# NdSn2Pt3

A relaxed structure of NdSn2Pt3 (PBE, the Open Quantum Materials Database).

Output
Total DFT energy (no corrections) ... -143.12 eV/cell

Lattice parameters (Å, degrees): 9.6965 4.8019 10.4560 90.00 90.00 90.00
Space group Pnma (No. 62)
One atom of each set of equivalent atoms:
Nd  0.2361  0.2500  0.0712 x4
Sn  0.0227  0.2500  0.6249 x4
Sn  0.1136  0.7500  0.8495 x4
Pt  0.0241  0.7500  0.0916 x4
Pt  0.0972  0.2500  0.3640 x4
Pt  0.2483  0.7500  0.2702 x4

---

(11)
# TbNdSn2Pt4

A relaxed structure of TbNdSn2Pt4 (PBE, the Open Quantum Materials Database).

Output
Total DFT energy (no corrections) ... -49.40 eV/cell

Lattice parameters (Å, degrees): 4.6002 4.6002 9.2002 90.00 90.00 120.00
Space group P-6m2 (No. 187)
One atom of each set of equivalent atoms:
Tb  0.0000  0.0000  0.0000 x1
Nd  0.3333  0.6667  0.5000 x1
Sn  0.6667  0.3333  0.2447 x2
Pt  0.0000  0.0000  0.3329 x2
Pt  0.3333  0.6667  0.1574 x2

---

(12)
# TbNd2Sn3Pt3

A relaxed structure of TbNd2Sn3Pt3 (PBE, the Open Quantum Materials Database).

Output
Total DFT energy (no corrections) ... -107.85 eV/cell

Lattice parameters (Å, degrees): 4.1115 13.1495 7.6096 90.00 90.00 90.00
Space group Amm2 (No. 38)
One atom of each set of equivalent atoms:
Tb  0.0000  0.0000  0.0000 x2
Nd  0.0000  0.2048  0.6129 x4
Sn  0.5000  0.0000  0.6624 x2
Sn  0.5000  0.1266  0.2794 x4
Pt  0.0000  0.0000  0.4036 x2
Pt  0.5000  0.1628  0.9097 x4

---

(13)
# Tb2NdSn3Pt3

A relaxed structure of Tb2NdSn3Pt3 (PBE, the Open Quantum Materials Database).

Output
Total DFT energy (no corrections) ... -107.83 eV/cell

Lattice parameters (Å, degrees): 4.0793 13.1185 7.5496 90.00 90.00 90.00
Space group Amm2 (No. 38)
One atom of each set of equivalent atoms:
Tb  0.0000  0.2038  0.0000 x4
Nd  0.0000  0.0000  0.6127 x2
Sn  0.5000  0.0000  0.9477 x2
Sn  0.5000  0.1282  0.3305 x4
Pt  0.0000  0.0000  0.1995 x2
Pt  0.5000  0.1700  0.7049 x4

---

(14)
# Nd2TmSn3Pt3

A relaxed structure of Nd2TmSn3Pt3 (PBE, the Open Quantum Materials Database).

Output
Total DFT energy (no corrections) ... -107.47 eV/cell

Lattice parameters (Å, degrees): 4.0991 13.0945 7.6009 90.00 90.00 90.00
Space group Amm2 (No. 38)
One atom of each set of equivalent atoms:
Nd  0.0000  0.2046  0.0000 x4
Tm  0.0000  0.0000  0.3883 x2
Sn  0.5000  0.0000  0.0494 x2
Sn  0.5000  0.1271  0.6658 x4
Pt  0.0000  0.0000  0.7878 x2
Pt  0.5000  0.1602  0.2982 x4

---

(15)
# Nd2YSn3Pt3

A relaxed structure of Nd2YSn3Pt3 (PBE, the Open Quantum Materials Database).

Output
Total DFT energy (no corrections) ... -111.51 eV/cell

Lattice parameters (Å, degrees): 4.1074 13.1441 7.6114 90.00 90.00 90.00
Space group Amm2 (No. 38)
One atom of each set of equivalent atoms:
Nd  0.0000  0.2047  0.0000 x4
Y  0.0000  0.0000  0.3877 x2
Sn  0.5000  0.0000  0.0501 x2
Sn  0.5000  0.1266  0.6661 x4
Pt  0.0000  0.0000  0.7910 x2
Pt  0.5000  0.1631  0.2963 x4

---

(16)
# SrNdPt4

A relaxed structure of SrNdPt4 (PBE, the Open Quantum Materials Database).

Output
Total DFT energy (no corrections) ... -145.37 eV/cell

Lattice parameters (Å, degrees): 7.8151 7.8151 7.8151 90.00 90.00 90.00
Space group F-43m (No. 216)
One atom of each set of equivalent atoms:
Sr  0.0000  0.0000  0.0000 x4
Nd  0.2500  0.2500  0.7500 x4
Pt  0.1251  0.1251  0.3749 x16

---

(17)
# SrNdPt

A relaxed structure of SrNdPt (PBE, the Open Quantum Materials Database).

Output
Total DFT energy (no corrections) ... -57.45 eV/cell

Lattice parameters (Å, degrees): 7.1955 7.1955 7.1955 90.00 90.00 90.00
Space group F-43m (No. 216)
One atom of each set of equivalent atoms:
Sr  0.0000  0.0000  0.0000 x4
Nd  0.0000  0.0000  0.5000 x4
Pt  0.2500  0.2500  0.7500 x4

---

(18)
# SrNd2Pt9

A relaxed structure of SrNd2Pt9 (PBE, the Open Quantum Materials Database).

Output
Total DFT energy (no corrections) ... -227.16 eV/cell

Lattice parameters (Å, degrees): 5.4933 5.4933 26.6545 90.00 90.00 120.00
Space group R-3m (No. 166, hexagonal axes)
One atom of each set of equivalent atoms:
Sr  0.0000  0.0000  0.0000 x3
Nd  0.0000  0.0000  0.1395 x6
Pt  0.0000  0.0000  0.3326 x6
Pt  0.0000  0.0000  0.5000 x3
Pt  0.0041  0.5021  0.9153 x18

---

(19)
# TbNdPt

A relaxed structure of TbNdPt (PBE, the Open Quantum Materials Database).

Output
Energy of formation from the pure elements ... -0.0544 eV per atom

Lattice parameters (Å, degrees): 6.8314 6.8314 6.8314 90.00 90.00 90.00
Space group F-43m (No. 216)
One atom of each set of equivalent atoms:
Tb  0.0000  0.0000  0.0000 x4
Nd  0.2500  0.2500  0.7500 x4
Pt  0.0000  0.0000  0.5000 x4

---

(20)
# TbNdPt2

A relaxed structure of TbNdPt2 (PBE, the Open Quantum Materials Database).

Output
Relative energy among the computed polymorphs ... 1.9 kJ/mol of formula units
Energy of formation from the pure elements ... -1.2052 eV per atom

Lattice parameters (Å, degrees): 5.6597 4.5766 7.2044 90.00 91.08 90.00
Space group P2_1/m (No. 11)
One atom of each set of equivalent atoms:
Tb  0.1391  0.2500  0.3196 x2
Nd  0.3589  0.2500  0.8154 x2
Pt  0.1487  0.7500  0.0491 x2
Pt  0.3386  0.7500  0.5386 x2

---

(21)
# Tb3NdPt4

A relaxed structure of Tb3NdPt4 (PBE, the Open Quantum Materials Database).

Output
Energy of formation from the pure elements ... -1.2375 eV per atom

Lattice parameters (Å, degrees): 5.6126 4.5475 7.1339 90.00 90.53 90.00
Space group Pm (No. 6)
One atom of each set of equivalent atoms:
Tb  0.0000  0.0000  0.0000 x1
Tb  0.2188  0.0000  0.4964 x1
Tb  0.7199  0.5000  0.3623 x1
Nd  0.5006  0.5000  0.8630 x1
Pt  0.0137  0.5000  0.7207 x1
Pt  0.2005  0.5000  0.2289 x1
Pt  0.5165  0.0000  0.1461 x1
Pt  0.7091  0.0000  0.6277 x1

---

(22)
# TbNdPt2

A relaxed structure of TbNdPt2 (PBE, the Open Quantum Materials Database).

Output
Relative energy among the computed polymorphs ... 2.9 kJ/mol of formula units
Energy of formation from the pure elements ... -1.2025 eV per atom

Lattice parameters (Å, degrees): 4.5724 5.6580 7.2034 90.00 90.00 90.00
Space group Pmc2_1 (No. 26)
One atom of each set of equivalent atoms:
Tb  0.0000  0.1094  0.0000 x2
Nd  0.5000  0.3893  0.3646 x2
Pt  0.0000  0.4014  0.6395 x2
Pt  0.5000  0.0933  0.7280 x2

---

(23)
# TbNdPt2

A relaxed structure of TbNdPt2 (PBE, the Open Quantum Materials Database).

Output
Relative energy among the computed polymorphs ... 0.0 kJ/mol of formula units
Energy of formation from the pure elements ... -1.2102 eV per atom

Lattice parameters (Å, degrees): 4.5756 7.2228 5.6438 90.00 90.00 90.00
Space group Pmn2_1 (No. 31)
One atom of each set of equivalent atoms:
Tb  0.0000  0.0666  0.0000 x2
Nd  0.0000  0.5693  0.7805 x2
Pt  0.0000  0.1934  0.4860 x2
Pt  0.0000  0.7186  0.2957 x2

---

| no. | volume (A^3/atom) |
| --- | --- |
| 1 | 19.2 |
| 2 | 19.0 |
| 3 | 18.6 |
| 4 | 26.7 |
| 5 | 30.0 |
| 6 | 19.5 |
| 7 | 19.0 |
| 8 | 29.1 |
| 9 | 29.1 |
| 10 | 20.3 |
| 11 | 21.1 |
| 12 | 22.9 |
| 13 | 22.4 |
| 14 | 22.7 |
| 15 | 22.8 |
| 16 | 19.9 |
| 17 | 31.0 |
| 18 | 19.3 |
| 19 | 26.6 |
| 20 | 23.3 |
| 21 | 22.8 |
| 22 | 23.3 |
| 23 | 23.3 |